1.
This record from Alexandria describes a relaxed BaTl3Ge crystal. The functional is PBE.

Energy relative to the elements ... -18.9 kJ/mol of atoms
Offset from the most stable computed form ... 0 meV per atom
Spin magnetization ... 0.00 Bohr magnetons per cell
DFT total energy ... -0.215 Ry per atom
Fermi-level density of states ... 1.8 states/eV/f.u.

a = 4.6933 Å, b = 10.6129 Å, c = 12.9474 Å
α = 90.00°, β = 90.00°, γ = 90.00°
Positions (direct):
Tl 0.2500 0.9141 0.7986
Ge 0.2500 0.1290 0.6469
Tl 0.2500 0.5563 0.0976
Ba 0.7500 0.7938 0.9967
Tl 0.2500 0.0563 0.4024
Tl 0.7500 0.1559 0.7950
Ge 0.7500 0.3710 0.1469
Tl 0.7500 0.4437 0.9024
Tl 0.7500 0.0859 0.2014
Tl 0.2500 0.4141 0.7014
Ba 0.7500 0.2938 0.5033
Ge 0.2500 0.6290 0.8531
Tl 0.2500 0.3441 0.2950
Ba 0.2500 0.2062 0.0033
Tl 0.7500 0.6559 0.7050
Ge 0.7500 0.8710 0.3531
Tl 0.2500 0.8441 0.2050
Tl 0.7500 0.9437 0.5976
Tl 0.7500 0.5859 0.2986
Ba 0.2500 0.7062 0.4967

=====

2.
This record from Alexandria describes a relaxed Ho3Si2Ni2 crystal. The functional is PBE.

Spin magnetization ... 0.00 Bohr magnetons per cell
Raw formation energy ... -0.730 eV/atom
DFT total energy ... -0.433 Ry per atom
Fermi-level density of states ... 5.4 states/eV/f.u.

a = 5.4904 Å, b = 7.6935 Å, c = 12.4458 Å
α = 90.00°, β = 90.00°, γ = 90.00°
Positions (direct):
Si 0.6428 0.7500 0.5000
Ho 0.1328 0.8923 0.8976
Si 0.8426 0.4013 0.2500
Ni 0.6174 0.0355 0.5888
Si 0.1574 0.5987 0.7500
Si 0.3572 0.2500 0.0000
Ni 0.3826 0.9645 0.0888
Si 0.1574 0.9013 0.2500
Si 0.8426 0.0987 0.7500
Ni 0.6174 0.4645 0.4112
Ho 0.6358 0.7506 0.2500
Ni 0.3826 0.5355 0.5888
Ho 0.1328 0.6077 0.3976
Ho 0.3642 0.2506 0.2500
Ho 0.1328 0.6077 0.1024
Ni 0.6174 0.0355 0.9112
Ni 0.6174 0.4645 0.0888
Ho 0.6358 0.7494 0.7500
Ho 0.3642 0.2494 0.7500
Si 0.3572 0.2500 0.5000
Ni 0.3826 0.9645 0.4112
Ho 0.8672 0.1077 0.1024
Si 0.6428 0.7500 0.0000
Ho 0.8672 0.3923 0.8976
Ho 0.8672 0.3923 0.6024
Ni 0.3826 0.5355 0.9112
Ho 0.1328 0.8923 0.6024
Ho 0.8672 0.1077 0.3976

=====

3.
This record from Alexandria describes a relaxed La2Pm3In4 crystal. The functional is PBE.

Energy relative to the elements ... -40.1 kJ/mol of atoms
Offset from the most stable computed form ... 0 meV per atom
Spin magnetization ... 0.00 Bohr magnetons per cell
DFT total energy ... -0.317 Ry per atom
Fermi-level density of states ... 10.5 states/eV/f.u.

a = 5.4785 Å, b = 5.4755 Å, c = 10.5408 Å
α = 90.05°, β = 90.00°, γ = 59.98°
Positions (direct):
In 0.3336 0.3329 0.1017
La 0.6669 0.6662 0.2185
Pm 0.6666 0.6667 0.5764
In 0.6664 0.6671 0.8983
La 0.3331 0.3338 0.7815
In 0.0001 0.9998 0.3523
Pm 0.3334 0.3333 0.4236
In 0.9999 0.0002 0.6477
Pm 0.0000 0.0000 0.0000

=====

4.
This record from Alexandria describes a relaxed LiPd2Au crystal. The functional is PBE.

Energy relative to the elements ... -23.6 kJ/mol of atoms
Offset from the most stable computed form ... 111 meV per atom
Spin magnetization ... 0.00 Bohr magnetons per cell
DFT total energy ... -0.304 Ry per atom
Fermi-level density of states ... 1.8 states/eV/f.u.

a = 2.9409 Å, b = 2.9409 Å, c = 6.8932 Å
α = 90.00°, β = 90.00°, γ = 90.00°
Positions (direct):
Au 0.5000 0.5000 0.0000
Li 0.5000 0.5000 0.5000
Pd 0.0000 0.0000 0.2835
Pd 0.0000 0.0000 0.7165

=====

5.
This record from Alexandria describes a relaxed CaHfOs2 crystal. The functional is PBE.

Energy relative to the elements ... 1.4 kJ/mol of atoms
Offset from the most stable computed form ... 71 meV per atom
Spin magnetization ... 0.00 Bohr magnetons per cell
DFT total energy ... -0.631 Ry per atom
Fermi-level density of states ... 3.1 states/eV/f.u.

a = 5.1616 Å, b = 5.3326 Å, c = 6.6159 Å
α = 80.30°, β = 80.80°, γ = 64.53°
Positions (direct):
Os 0.2506 0.0023 0.0034
Os 0.1271 0.8835 0.6573
Hf 0.5648 0.7657 0.3549
Os 0.7494 0.9977 0.9966
Ca 0.7670 0.5317 0.8198
Os 0.8729 0.1165 0.3427
Hf 0.4352 0.2343 0.6451
Ca 0.2330 0.4683 0.1802

=====

6.
This record from Alexandria describes a relaxed InBr3F crystal. The functional is PBE.

Offset from the most stable computed form ... 238 meV per atom
Spin magnetization ... 0.00 Bohr magnetons per cell
Raw formation energy ... -0.066 eV/atom
DFT total energy ... -0.146 Ry per atom
Fermi-level density of states ... 5.1 states/eV/f.u.

a = 5.0919 Å, b = 5.0919 Å, c = 5.0919 Å
α = 90.00°, β = 90.00°, γ = 90.00°
Positions (direct):
Br 0.0000 0.0000 0.5000
F 0.0000 0.0000 0.0000
Br 0.5000 0.0000 0.0000
In 0.5000 0.5000 0.5000
Br 0.0000 0.5000 0.0000

=====

Repeat the third record exactly.
This record from Alexandria describes a relaxed La2Pm3In4 crystal. The functional is PBE.

Energy relative to the elements ... -40.1 kJ/mol of atoms
Offset from the most stable computed form ... 0 meV per atom
Spin magnetization ... 0.00 Bohr magnetons per cell
DFT total energy ... -0.317 Ry per atom
Fermi-level density of states ... 10.5 states/eV/f.u.

a = 5.4785 Å, b = 5.4755 Å, c = 10.5408 Å
α = 90.05°, β = 90.00°, γ = 59.98°
Positions (direct):
In 0.3336 0.3329 0.1017
La 0.6669 0.6662 0.2185
Pm 0.6666 0.6667 0.5764
In 0.6664 0.6671 0.8983
La 0.3331 0.3338 0.7815
In 0.0001 0.9998 0.3523
Pm 0.3334 0.3333 0.4236
In 0.9999 0.0002 0.6477
Pm 0.0000 0.0000 0.0000

=====

Q: Among the records above, which one has the lowest DFT total energy?
A: CaHfOs2